[1]
Here is crystalline Ba3Eu5Cl12 at its relaxed geometry from Alexandria. Energies are from PBE-GGA.

a b c (Å): 17.8913 17.8913 17.8913
angles (deg): 90.00 90.00 90.00
Closest atoms and distances in Å follow each position.
Space group Ia-3d (No. 230)
Inequivalent atoms, fractional coordinates:
Ba: 0.0000 0.2500 0.1250 [24 per cell]  8 Cl 3.17-3.46
Eu: 0.0000 0.0000 0.0000 [16 per cell]  6 Cl 2.95
Eu: 0.0000 0.2500 0.3750 [24 per cell]  4 Cl 2.87
Cl: 0.0114 0.0590 0.6533 [96 per cell]  2 Eu 2.87-2.95, 1 Ba 3.17

[2]
Here is crystalline Ba6EuCl2F12 at its relaxed geometry from Alexandria. Energies are from PBE-GGA.

a b c (Å): 10.6861 10.6861 4.2097
angles (deg): 90.00 90.00 120.00
Closest atoms and distances in Å follow each position.
Space group P-6 (No. 174)
Inequivalent atoms, fractional coordinates:
Ba: 0.0481 0.7784 0.0000 [3 per cell]  7 F 2.68-2.74
Ba: 0.4427 0.0730 0.5000 [3 per cell]  5 F 2.62-2.69
Eu: 0.3333 0.6667 0.5000 [1 per cell]  3 F 2.42
Cl: 0.0000 0.0000 0.5000 [1 per cell]  6 Ba 3.39, 9 F 3.49-3.76
Cl: 0.6667 0.3333 0.0000 [1 per cell]  6 Ba 3.35, 9 F 3.45-3.68
F: 0.1244 0.5715 0.0000 [3 per cell]  3 Ba 2.71-3.00, 2 Eu 2.86
F: 0.1886 0.4059 0.5000 [3 per cell]  1 Eu 2.42, 3 Ba 2.62-2.68
F: 0.2831 0.0519 0.0000 [3 per cell]  4 Ba 2.65-2.74
F: 0.3950 0.2971 0.5000 [3 per cell]  4 Ba 2.66-2.72, 1 F 2.96

[3]
Here is crystalline BaCl6F2 at its relaxed geometry from Alexandria. Energies are from PBE-GGA.

a b c (Å): 9.1674 16.2648 4.1660
angles (deg): 90.00 107.53 90.00
Closest atoms and distances in Å follow each position.
Space group C2/m (No. 12)
Inequivalent atoms, fractional coordinates:
Ba: 0.0000 0.0000 0.0000 [2 per cell]  4 F 2.54
Cl: 0.0992 0.5000 0.4475 [4 per cell]  1 Cl 2.00
Cl: 0.1150 0.2816 0.0762 [8 per cell]  1 Cl 2.01
F: 0.0000 0.0891 0.5000 [4 per cell]  2 Ba 2.54

[4]
Here is crystalline BaCl3F12 at its relaxed geometry from Alexandria. Energies are from PBE-GGA.

a b c (Å): 10.5892 10.5892 17.4223
angles (deg): 90.00 90.00 120.00
Closest atoms and distances in Å follow each position.
Space group R3c (No. 161, hexagonal axes)
Inequivalent atoms, fractional coordinates:
Ba: 0.0000 0.0000 0.0000 [6 per cell]  9 F 2.74-2.87
Cl: 0.0114 0.3567 0.4557 [18 per cell]  4 F 1.73-1.88
F: 0.0303 0.5125 0.1265 [18 per cell]  1 Cl 1.81
F: 0.0619 0.1898 0.7919 [18 per cell]  1 Cl 1.73
F: 0.1763 0.3816 0.1211 [18 per cell]  1 Cl 1.88
F: 0.1998 0.0687 0.1175 [18 per cell]  1 Cl 1.82

[5]
Here is crystalline Ba2Cl2F at its relaxed geometry from Alexandria. Energies are from PBE-GGA.

a b c (Å): 7.7717 7.7717 4.7655
angles (deg): 90.00 90.00 90.00
Closest atoms and distances in Å follow each position.
Space group P4/mbm (No. 127)
Inequivalent atoms, fractional coordinates:
Ba: 0.1758 0.3242 0.0000 [4 per cell]  2 F 2.87, 2 Cl 3.08
Cl: 0.1460 0.6460 0.5000 [4 per cell]  2 Ba 3.08, 1 Cl 3.21
F: 0.0000 0.0000 0.0000 [2 per cell]  4 Ba 2.87

Calculated values
Distance to the lowest polymorph of the same formula   0.0 meV/atom

[6]
Here is crystalline Ba2ClF at its relaxed geometry from Alexandria. Energies are from PBE-GGA.

a b c (Å): 7.5805 7.5805 7.5805
angles (deg): 90.00 90.00 90.00
Closest atoms and distances in Å follow each position.
Space group Fm-3m (No. 225)
Inequivalent atoms, fractional coordinates:
Ba: 0.2500 0.2500 0.2500 [8 per cell]  4 F 3.28, 4 Cl 3.28
Cl: 0.0000 0.0000 0.0000 [4 per cell]  8 Ba 3.28
F: 0.0000 0.0000 0.5000 [4 per cell]  8 Ba 3.28

Calculated values
Distance to the lowest polymorph of the same formula   378.2 meV/atom

[7]
Here is crystalline Ba4ClF8 at its relaxed geometry from Alexandria. Energies are from PBE-GGA.

a b c (Å): 6.4080 6.4080 6.4080
angles (deg): 90.00 90.00 90.00
Closest atoms and distances in Å follow each position.
Space group Pm-3m (No. 221)
Inequivalent atoms, fractional coordinates:
Ba: 0.0000 0.0000 0.0000 [1 per cell]  8 F 2.69
Ba: 0.0000 0.5000 0.5000 [3 per cell]  8 F 2.81
Cl: 0.5000 0.5000 0.5000 [1 per cell]  8 F 2.86, 6 Ba 3.20
F: 0.2419 0.2419 0.2419 [8 per cell]  4 Ba 2.69-2.81, 1 Cl 2.86

[8]
Here is crystalline BaClF2 at its relaxed geometry from Alexandria. Energies are from PBE-GGA.

a b c (Å): 4.4710 4.4710 18.8116
angles (deg): 90.00 90.00 120.00
Closest atoms and distances in Å follow each position.
Space group R-3m (No. 166, hexagonal axes)
Inequivalent atoms, fractional coordinates:
Ba: 0.0000 0.0000 0.0000 [3 per cell]  6 F 2.66
Cl: 0.0000 0.0000 0.5000 [3 per cell]  2 F 2.48
F: 0.0000 0.0000 0.3684 [6 per cell]  1 Cl 2.48, 3 Ba 2.66

Calculated values
Distance to the lowest polymorph of the same formula   0.0 meV/atom

Calculated final energy, -5.98; -5.95; -2.95; -3.11; -4.34; -3.66; -5.31; -4.42 eV per atom (same order as the records).
Calculated raw formation energy, -2014; -3665; -1094; -1236; -2461; -1768; -3422; -2547 meV/atom (same order as the records).